# AsPW2 | the Alexandria database | PBE | optimized geometry
# - total magnetic moment (μB per atom) = 0.00
# - relative energy among the computed polymorphs (meV/atom) = 346.3
# - density of states at the Fermi level (states/eV/f.u.) = 2.663
# - E (eV/f.u.) = -35.00
# - mass density (g/cm3) = 11.227
# - energy of formation from the pure elements (eV/f.u.) = 1.0
data_AsPW2
_chemical_formula_sum 'As2 P2 W4'
_symmetry_space_group_name_H-M 'C m m 2'
_symmetry_Int_Tables_number 35
_cell_length_a 3.224
_cell_length_b 4.616
_cell_length_c 9.413
_cell_angle_alpha 90.00
_cell_angle_beta 90.00
_cell_angle_gamma 90.00
loop_
_symmetry_equiv_pos_as_xyz
'x,y,z'
'-x,-y,z'
'-x,y,z'
'x,-y,z'
'x+1/2,y+1/2,z'
'-x+1/2,-y+1/2,z'
'-x+1/2,y+1/2,z'
'x+1/2,-y+1/2,z'
loop_
_atom_site_label
_atom_site_fract_x
_atom_site_fract_y
_atom_site_fract_z
As1 0.000 0.000 0.000
P1 0.000 0.500 0.658
W1 0.000 0.000 0.461
W2 0.000 0.500 0.223

---

# PrTm8In6 | the Alexandria database | PBE | optimized geometry
# - total magnetic moment (μB per atom) = 0.00
# - density of states at the Fermi level (states/eV/f.u.) = 19.160
# - E (eV/f.u.) = -59.75
# - mass density (g/cm3) = 8.026
# - energy of formation from the pure elements (eV/f.u.) = -2.8
data_PrTm8In6
_chemical_formula_sum 'Pr3 Tm24 In18'
_symmetry_space_group_name_H-M 'R -3'
_symmetry_Int_Tables_number 148
_symmetry_space_group_name_Hall '-R 3'
_cell_length_a 9.0044
_cell_length_b 9.0044
_cell_length_c 19.2818
_cell_angle_alpha 90.00
_cell_angle_beta 90.00
_cell_angle_gamma 120.00
loop_
_atom_site_label
_atom_site_fract_x
_atom_site_fract_y
_atom_site_fract_z
Pr1 0.0000 0.0000 0.0000
Tm1 0.0000 0.0000 0.3325
Tm2 0.0013 0.3325 0.1129
In1 0.9999 0.3412 0.9391

---

# Si2Ni8H | the Alexandria database | PBE | optimized geometry
# - total magnetic moment (μB per atom) = 0.00
# - density of states at the Fermi level (states/eV/f.u.) = 8.378
# - E (eV/f.u.) = -62.98
# - mass density (g/cm3) = 7.696
data_Si2Ni8H
_chemical_formula_sum 'Si4 Ni16 H2'
_symmetry_space_group_name_H-M 'C 1 2/m 1'
_symmetry_Int_Tables_number 12
_cell_length_a 12.288
_cell_length_b 3.971
_cell_length_c 4.928
_cell_angle_alpha 90.00
_cell_angle_beta 109.07
_cell_angle_gamma 90.00
loop_
_symmetry_equiv_pos_as_xyz
'x,y,z'
'-x,-y,-z'
'-x,y,-z'
'x,-y,z'
'x+1/2,y+1/2,z'
'-x+1/2,-y+1/2,-z'
'-x+1/2,y+1/2,-z'
'x+1/2,-y+1/2,z'
loop_
_atom_site_label
_atom_site_fract_x
_atom_site_fract_y
_atom_site_fract_z
Si1 0.171 0.000 0.158
Ni1 0.014 0.000 0.758
Ni2 0.097 0.500 0.341
Ni3 0.142 0.500 0.869
Ni4 0.204 0.000 0.640
H1 0.000 0.500 0.500

---

# LiTl2CoH6 | the Alexandria database | PBE | optimized geometry
# - total magnetic moment (μB per atom) = 0.00
# - E (eV/f.u.) = -33.95
# - mass density (g/cm3) = 6.696
data_LiTl2CoH6
_chemical_formula_sum 'Li1 Tl2 Co1 H6'
_symmetry_space_group_name_H-M 'P -3 m 1'
_symmetry_Int_Tables_number 164
_symmetry_space_group_name_Hall '-P 3 2"'
_cell_length_a 5.3334
_cell_length_b 5.3334
_cell_length_c 4.8389
_cell_angle_alpha 90.00
_cell_angle_beta 90.00
_cell_angle_gamma 120.00
loop_
_atom_site_label
_atom_site_fract_x
_atom_site_fract_y
_atom_site_fract_z
Li1 0.0000 0.0000 0.0000
Tl1 0.3333 0.6667 0.2351
Co1 0.0000 0.0000 0.5000
H1 0.1374 0.2748 0.6853

---

# Te2PtSeN | the Alexandria database | PBE | optimized geometry
# - total magnetic moment (μB per atom) = 0.00
# - relative energy among the computed polymorphs (meV/atom) = 0.0
# - density of states at the Fermi level (states/eV/f.u.) = 3.754
# - E (eV/f.u.) = -21.31
# - mass density (g/cm3) = 7.837
# - formation energy (no corrections) (meV/atom) = 565
data_Te2PtSeN
_chemical_formula_sum 'Te2 Pt1 Se1 N1'
_symmetry_space_group_name_H-M 'P 4/m m m'
_symmetry_Int_Tables_number 123
_symmetry_space_group_name_Hall '-P 4 2'
_cell_length_a 5.587
_cell_length_b 5.587
_cell_length_c 3.687
_cell_angle_alpha 90.00
_cell_angle_beta 90.00
_cell_angle_gamma 90.00
loop_
_atom_site_label
_atom_site_fract_x
_atom_site_fract_y
_atom_site_fract_z
Te1 0.000 0.500 0.000
Pt1 0.000 0.000 0.000
Se1 0.500 0.500 0.500
N1 0.000 0.000 0.500

---

# LiNd2ThTe5 | the Alexandria database | PBE | optimized geometry
# - total magnetic moment (μB per atom) = 0.00
# - density of states at the Fermi level (states/eV/f.u.) = 1.668
# - E (eV/f.u.) = -45.71
# - mass density (g/cm3) = 6.903
# - formation energy (no corrections) (meV/atom) = -1237
data_LiNd2ThTe5
_chemical_formula_sum 'Li4 Nd8 Th4 Te20'
_symmetry_space_group_name_H-M 'C m c 21'
_symmetry_Int_Tables_number 36
_cell_length_a 4.405
_cell_length_b 18.905
_cell_length_c 13.468
_cell_angle_alpha 90.00
_cell_angle_beta 90.00
_cell_angle_gamma 90.00
loop_
_symmetry_equiv_pos_as_xyz
'x,y,z'
'-x,-y,z+1/2'
'-x,y,z'
'x,-y,z+1/2'
'x+1/2,y+1/2,z'
'-x+1/2,-y+1/2,z+1/2'
'-x+1/2,y+1/2,z'
'x+1/2,-y+1/2,z+1/2'
loop_
_atom_site_label
_atom_site_fract_x
_atom_site_fract_y
_atom_site_fract_z
Li1 0.000 0.053 0.000
Nd1 0.000 0.372 0.842
Nd2 0.000 0.393 0.228
Th1 0.000 0.301 0.551
Te1 0.000 0.004 0.321
Te2 0.000 0.135 0.542
Te3 0.000 0.184 0.884
Te4 0.000 0.216 0.217
Te5 0.000 0.454 0.611